(1)
## SmPuCu10 (PBE-GGA)

Data for SmPuCu10 after structural relaxation.

The calculation puts the total energy at -61.17 eV/cell. For the formation energy, the calculation gives -0.0962 eV per atom.

It has space group Pmmm (No. 47), with a = 4.076 Å, b = 5.107 Å, c = 8.794 Å, α = 90.00°, β = 90.00° and γ = 90.00°. The inequivalent atoms are Sm at (0.000, 0.000, 0.000), Pu at (0.000, 0.500, 0.500), Cu at (0.000, 0.000, 0.334), Cu at (0.000, 0.500, 0.167), Cu at (0.500, 0.000, 0.500), Cu at (0.500, 0.250, 0.250) and Cu at (0.500, 0.500, 0.000).

=====

(2)
## PtS2NO (PBE-GGA)

Data for PtS2NO after structural relaxation.

The calculation puts the total energy at -19.57 eV/cell. The distance to the lowest polymorph of the same formula is 137.1 meV/atom.

It has space group P4/mmm (No. 123), with a = 4.214 Å, b = 4.214 Å, c = 3.682 Å, α = 90.00°, β = 90.00° and γ = 90.00°. The inequivalent atoms are Pt at (0.000, 0.000, 0.000), S at (0.000, 0.500, 0.500), N at (0.500, 0.500, 0.000) and O at (0.500, 0.500, 0.500).